[1]
A relaxed structure of Ti6C2S, computed with GGA-PBE.

The space group is C2/m (No. 12) and the conventional cell measures 10.0339, 4.1214 and 7.1881 Å, with angles of 90.00, 117.27 and 90.00 degrees. Symmetry generates all atoms from Ti at (0.0194, 0.0000, 0.1962), Ti at (0.1575, 0.5000, 0.5820), Ti at (0.1859, 0.5000, 0.0770), C at (0.1824, 0.0000, 0.0919) and S at (0.0000, 0.0000, 0.5000).

As for the total DFT energy (no corrections): -8.361 eV/atom. For the magnetic moment, the calculation gives 0.00 μB/f.u. The formation energy from raw total energies is -0.589 eV/atom. The crystal system is monoclinic.

[2]
A relaxed structure of Ti4CS, computed with GGA-PBE.

The space group is P2_1/c (No. 14) and the conventional cell measures 6.3427, 5.1642 and 6.2147 Å, with angles of 90.00, 116.51 and 90.00 degrees. Symmetry generates all atoms from Ti at (0.1335, 0.2344, 0.3212), Ti at (0.3055, 0.7150, 0.6361), C at (0.0000, 0.0000, 0.0000) and S at (0.5000, 0.0000, 0.5000).

As for the total DFT energy (no corrections): -8.239 eV/atom. For the magnetic moment, the calculation gives 0.00 μB/f.u. The formation energy from raw total energies is -0.751 eV/atom. The crystal system is monoclinic.

[3]
A relaxed structure of Ti2CS, computed with GGA-PBE.

The space group is Fm-3m (No. 225) and the conventional cell measures 5.7880, 5.7880 and 5.7880 Å, with angles of 90.00, 90.00 and 90.00 degrees. Symmetry generates all atoms from Ti at (0.2500, 0.2500, 0.2500), C at (0.0000, 0.0000, 0.0000) and S at (0.0000, 0.0000, 0.5000).

As for the total DFT energy (no corrections): -7.501 eV/atom. For the energy above the most stable polymorph in this dataset, the calculation gives 1.038 eV per atom. For the magnetic moment, the calculation gives 0.47 μB/f.u. The formation energy from raw total energies is -0.215 eV/atom. The crystal system is cubic.

[4]
A relaxed structure of Tl3CS3, computed with GGA-PBE.

The space group is P2_1/m (No. 11) and the conventional cell measures 6.9074, 6.5420 and 8.7089 Å, with angles of 90.00, 103.67 and 90.00 degrees. Symmetry generates all atoms from Tl at (0.0749, 0.2500, 0.3084), Tl at (0.2551, 0.2500, 0.9546), Tl at (0.4063, 0.7500, 0.6458), C at (0.3107, 0.7500, 0.2172), S at (0.1199, 0.7500, 0.3152), S at (0.2633, 0.7500, 0.0143) and S at (0.4441, 0.2500, 0.6731).

As for the total DFT energy (no corrections): -4.115 eV/atom. For the magnetic moment, the calculation gives 0.00 μB/f.u. The formation energy from raw total energies is -0.015 eV/atom. The crystal system is monoclinic.

[5]
A relaxed structure of TlCS2, computed with GGA-PBE.

The space group is Fm-3m (No. 225) and the conventional cell measures 6.5581, 6.5581 and 6.5581 Å, with angles of 90.00, 90.00 and 90.00 degrees. Symmetry generates all atoms from Tl at (0.0000, 0.0000, 0.0000), C at (0.0000, 0.0000, 0.5000) and S at (0.2500, 0.2500, 0.2500).

As for the total DFT energy (no corrections): -3.155 eV/atom. For the energy above the most stable polymorph in this dataset, the calculation gives 1.472 eV per atom. For the magnetic moment, the calculation gives 0.00 μB/f.u. The formation energy from raw total energies is 1.806 eV/atom. The crystal system is cubic.

[6]
A relaxed structure of TlC3S, computed with GGA-PBE.

The space group is Pm-3m (No. 221) and the conventional cell measures 4.4636, 4.4636 and 4.4636 Å, with angles of 90.00, 90.00 and 90.00 degrees. Symmetry generates all atoms from Tl at (0.0000, 0.0000, 0.0000), C at (0.0000, 0.0000, 0.5000) and S at (0.5000, 0.5000, 0.5000).

As for the total DFT energy (no corrections): -3.072 eV/atom. For the energy above the most stable polymorph in this dataset, the calculation gives 1.073 eV per atom. For the magnetic moment, the calculation gives 2.62 μB/f.u. The formation energy from raw total energies is 3.761 eV/atom. The crystal system is cubic.

[7]
A relaxed structure of TlCS2, computed with GGA-PBE.

The space group is R-3m (No. 166, hexagonal axes) and the conventional cell measures 3.8654, 3.8654 and 24.6433 Å, with angles of 90.00, 90.00 and 120.00 degrees. Symmetry generates all atoms from Tl at (0.0000, 0.0000, 0.0000), C at (0.0000, 0.0000, 0.5000) and S at (0.0000, 0.0000, 0.4364).

As for the total DFT energy (no corrections): -4.627 eV/atom. For the energy above the most stable polymorph in this dataset, the calculation gives 0.000 eV per atom. For the magnetic moment, the calculation gives 0.00 μB/f.u. The formation energy from raw total energies is 0.334 eV/atom. The crystal system is trigonal.

[8]
A relaxed structure of TlCS2, computed with GGA-PBE.

The space group is R-3m (No. 166, hexagonal axes) and the conventional cell measures 3.1066, 3.1066 and 25.6587 Å, with angles of 90.00, 90.00 and 120.00 degrees. Symmetry generates all atoms from Tl at (0.0000, 0.0000, 0.0000), C at (0.0000, 0.0000, 0.5000) and S at (0.0000, 0.0000, 0.1195).

As for the total DFT energy (no corrections): -3.811 eV/atom. For the energy above the most stable polymorph in this dataset, the calculation gives 0.816 eV per atom. For the magnetic moment, the calculation gives 0.00 μB/f.u. The formation energy from raw total energies is 1.150 eV/atom. The crystal system is trigonal.

[9]
A relaxed structure of TlCS2, computed with GGA-PBE.

The space group is I-42d (No. 122) and the conventional cell measures 6.3472, 6.3472 and 8.0687 Å, with angles of 90.00, 90.00 and 90.00 degrees. Symmetry generates all atoms from Tl at (0.0000, 0.0000, 0.0000), C at (0.0000, 0.0000, 0.5000) and S at (0.0911, 0.2500, 0.6250).

As for the total DFT energy (no corrections): -4.251 eV/atom. For the energy above the most stable polymorph in this dataset, the calculation gives 0.376 eV per atom. For the magnetic moment, the calculation gives 0.00 μB/f.u. The formation energy from raw total energies is 0.710 eV/atom. The crystal system is tetragonal.

[10]
A relaxed structure of TlC3S, computed with GGA-PBE.

The space group is Pm-3m (No. 221) and the conventional cell measures 3.8504, 3.8504 and 3.8504 Å, with angles of 90.00, 90.00 and 90.00 degrees. Symmetry generates all atoms from Tl at (0.0000, 0.0000, 0.0000), C at (0.0000, 0.5000, 0.5000) and S at (0.5000, 0.5000, 0.5000).

As for the total DFT energy (no corrections): -4.144 eV/atom. For the energy above the most stable polymorph in this dataset, the calculation gives 0.000 eV per atom. For the magnetic moment, the calculation gives 0.00 μB/f.u. The formation energy from raw total energies is 2.689 eV/atom. The crystal system is cubic.

[11]
A relaxed structure of Tm8Tl3CS3, computed with GGA-PBE.

The space group is C2/m (No. 12) and the conventional cell measures 13.0038, 7.5172 and 8.8279 Å, with angles of 90.00, 119.42 and 90.00 degrees. Symmetry generates all atoms from Tm at (0.0126, 0.2258, 0.3124), Tm at (0.2132, 0.0000, 0.6873), Tm at (0.2337, 0.5000, 0.7010), Tl at (0.0000, 0.0000, 0.0000), Tl at (0.2500, 0.2500, 0.0000), C at (0.0000, 0.0000, 0.5000), S at (0.0000, 0.5000, 0.5000) and S at (0.2500, 0.2500, 0.5000).

As for the total DFT energy (no corrections): -5.255 eV/atom. For the magnetic moment, the calculation gives 0.00 μB/f.u. The formation energy from raw total energies is -0.956 eV/atom. The crystal system is monoclinic.

[12]
A relaxed structure of ZrTlC2S, computed with GGA-PBE.

The space group is P4/mmm (No. 123) and the conventional cell measures 4.1595, 4.1595 and 11.3884 Å, with angles of 90.00, 90.00 and 90.00 degrees. Symmetry generates all atoms from Zr at (0.0000, 0.0000, 0.0000), Tl at (0.0000, 0.0000, 0.5000), C at (0.0000, 0.5000, 0.0000) and S at (0.5000, 0.5000, 0.5000).

As for the total DFT energy (no corrections): -5.079 eV/atom. For the magnetic moment, the calculation gives 0.00 μB/f.u. The formation energy from raw total energies is 1.619 eV/atom. The crystal system is tetragonal.